! Rb2NiIr PBE optimized geometry; values from VASP
&SYSTEM
  ibrav = 0, nat = 4, ntyp = 3
/
ATOMIC_SPECIES
Rb 85.47 Rb.upf
Ni 58.69 Ni.upf
Ir 192.22 Ir.upf
ATOMIC_POSITIONS angstrom
Rb 1.9710 1.9710 1.9710
Rb 5.9130 5.9130 5.9130
Ni 0.0000 0.0000 0.0000
Ir 3.9420 3.9420 3.9420
CELL_PARAMETERS angstrom
0.0000 3.9420 3.9420
3.9420 0.0000 3.9420
3.9420 3.9420 0.0000
! V = 122.5 Å³ per cell
! Space group = No. 225
! Size of the total moment = 1.62 μB/f.u.
! ρ = 5.718 g/cm³
! Excess energy over the best structure of this formula in the dataset = 0.727 eV per atom